(1)
Here is Mn2H2Os at its PBEsol-relaxed geometry from Alexandria via LeMat-Bulk. Energies are from meta-GGA SCAN.

Cell lengths 2.6689, 2.6689, 6.0558 Å; angles 102.73, 102.73, 90.00 degrees
Each line ends with the local moment (μB).
Atoms (fractional coordinates):
H1 0.2500 0.7500 0.5000  -0.03
H2 0.7500 0.2500 0.5000  -0.03
Mn1 0.3476 0.3476 0.6952  2.59
Mn2 0.6524 0.6524 0.3048  2.59
Os1 0.0000 0.0000 0.0000  -0.57

DFT total energy in eV per atom: -23.11
Spin magnetization in μB per atom: 0.898
Crystal system: tetragonal



(2)
Here is MnH2Os at its PBEsol-relaxed geometry from Alexandria via LeMat-Bulk. Energies are from meta-GGA SCAN.

Cell lengths 3.9490, 3.9490, 4.9034 Å; angles 113.75, 113.75, 90.00 degrees
Each line ends with the local moment (μB).
Atoms (fractional coordinates):
H1 0.8488 0.3750 0.2500  -0.02
H2 0.4012 0.8750 0.2500  -0.02
H3 0.6250 0.5988 0.7500  -0.02
H4 0.1250 0.1512 0.7500  -0.02
Mn1 0.7500 0.2500 0.5000  3.12
Mn2 0.5000 0.5000 0.0000  3.12
Os1 0.2500 0.7500 0.5000  -0.20
Os2 0.0000 0.0000 0.0000  -0.20

DFT total energy in eV per atom: -24.05
Spin magnetization in μB per atom: 0.718
Crystal system: tetragonal



(3)
Here is MnSn2HOs at its PBEsol-relaxed geometry from Alexandria via LeMat-Bulk. Energies are from meta-GGA SCAN.

Cell lengths 3.4797, 4.5655, 4.5655 Å; angles 90.00, 90.00, 90.00 degrees
Each line ends with the local moment (μB).
Atoms (fractional coordinates):
H1 0.0000 0.0000 0.0000  -0.01
Mn1 0.5000 0.5000 0.5000  3.72
Os1 0.5000 0.0000 0.0000  -0.12
Sn1 0.0000 0.0000 0.5000  -0.09
Sn2 0.0000 0.5000 0.0000  -0.09

DFT total energy in eV per atom: -32.66
Spin magnetization in μB per atom: 0.691
Crystal system: tetragonal



(4)
Here is MnPH3 at its PBEsol-relaxed geometry from Alexandria via LeMat-Bulk. Energies are from meta-GGA SCAN.

Cell lengths 3.2683, 3.2683, 3.2683 Å; angles 90.00, 90.00, 90.00 degrees
Each line ends with the local moment (μB).
Atoms (fractional coordinates):
P1 0.5000 0.5000 0.5000  -0.20
Mn1 0.0000 0.0000 0.0000  2.72
H1 0.0000 0.5000 0.0000  -0.03
H2 0.0000 0.0000 0.5000  -0.03
H3 0.5000 0.0000 0.0000  -0.03

E above lowest polymorph in meV per atom: 0
DFT total energy in eV per atom: -7.20
Spin magnetization in μB per atom: 0.443
Crystal system: cubic



(5)
Here is MnPH3 at its PBEsol-relaxed geometry from Alexandria via LeMat-Bulk. Energies are from meta-GGA SCAN.

Cell lengths 3.4500, 3.4500, 3.4500 Å; angles 90.00, 90.00, 90.00 degrees
Each line ends with the local moment (μB).
Atoms (fractional coordinates):
P1 0.0000 0.0000 0.0000  0.03
Mn1 0.5000 0.5000 0.5000  4.28
H1 0.0000 0.5000 0.0000  0.01
H2 0.0000 0.0000 0.5000  0.01
H3 0.5000 0.0000 0.0000  0.01

E above lowest polymorph in meV per atom: 69
DFT total energy in eV per atom: -7.13
Spin magnetization in μB per atom: 0.910
Crystal system: cubic



(6)
Here is MnHPt2 at its PBEsol-relaxed geometry from Alexandria via LeMat-Bulk. Energies are from meta-GGA SCAN.

Cell lengths 4.1067, 4.1067, 4.1067 Å; angles 60.00, 60.00, 60.00 degrees
Each line ends with the local moment (μB).
Atoms (fractional coordinates):
H1 0.0000 0.0000 0.0000  0.00
Mn1 0.5000 0.5000 0.5000  3.65
Pt1 0.2500 0.2500 0.2500  0.28
Pt2 0.7500 0.7500 0.7500  0.28

DFT total energy in eV per atom: -40.46
Spin magnetization in μB per atom: 1.053
Crystal system: cubic



(7)
Here is MnH2Pt2 at its PBEsol-relaxed geometry from Alexandria via LeMat-Bulk. Energies are from meta-GGA SCAN.

Cell lengths 3.6301, 5.3609, 5.3609 Å; angles 90.00, 90.00, 90.00 degrees
Each line ends with the local moment (μB).
Atoms (fractional coordinates):
H1 0.0000 0.1611 0.6611  -0.02
H2 0.0000 0.6611 0.8389  -0.02
H3 0.0000 0.8389 0.3389  -0.02
H4 0.0000 0.3389 0.1611  -0.02
Mn1 0.0000 0.0000 0.0000  4.01
Mn2 0.0000 0.5000 0.5000  4.01
Pt1 0.5000 0.1789 0.6789  0.17
Pt2 0.5000 0.6789 0.8211  0.17
Pt3 0.5000 0.8211 0.3211  0.17
Pt4 0.5000 0.3211 0.1789  0.17

DFT total energy in eV per atom: -33.39
Spin magnetization in μB per atom: 0.883
Crystal system: tetragonal



(8)
Here is MnHPt3 at its PBEsol-relaxed geometry from Alexandria via LeMat-Bulk. Energies are from meta-GGA SCAN.

Cell lengths 3.9525, 3.9525, 3.9525 Å; angles 90.00, 90.00, 90.00 degrees
Each line ends with the local moment (μB).
Atoms (fractional coordinates):
H1 0.0000 0.0000 0.0000  0.00
Mn1 0.5000 0.5000 0.5000  4.19
Pt1 0.0000 0.5000 0.0000  0.24
Pt2 0.0000 0.0000 0.5000  0.24
Pt3 0.5000 0.0000 0.0000  0.24

DFT total energy in eV per atom: -46.79
Spin magnetization in μB per atom: 0.988
Crystal system: cubic



(9)
Here is Rb2MnHSe at its PBEsol-relaxed geometry from Alexandria via LeMat-Bulk. Energies are from meta-GGA SCAN.

Cell lengths 4.2812, 5.4120, 5.4120 Å; angles 90.00, 90.00, 90.00 degrees
Each line ends with the local moment (μB).
Atoms (fractional coordinates):
H1 0.0000 0.0000 0.0000  -0.02
Mn1 0.5000 0.0000 0.0000  4.63
Se1 0.5000 0.5000 0.5000  0.09
Rb1 0.0000 0.0000 0.5000  0.01
Rb2 0.0000 0.5000 0.0000  0.01

DFT total energy in eV per atom: -16.89
Spin magnetization in μB per atom: 1.044
Crystal system: tetragonal



(10)
Here is Mn3ReH at its PBEsol-relaxed geometry from Alexandria via LeMat-Bulk. Energies are from meta-GGA SCAN.

Cell lengths 4.4515, 6.6259, 6.6259 Å; angles 102.53, 90.08, 90.08 degrees
Atoms (fractional coordinates):
Re1 0.5776 0.7032 0.5651
Re2 0.9224 0.4349 0.2968
Re3 0.4224 0.2968 0.4349
Re4 0.0776 0.5651 0.7032
Mn1 0.9210 0.9382 0.8072
Mn2 0.5790 0.1928 0.0618
Mn3 0.0790 0.0618 0.1928
Mn4 0.4210 0.8072 0.9382
Mn5 0.5872 0.9369 0.3157
Mn6 0.9128 0.6843 0.0631
Mn7 0.4128 0.0631 0.6843
Mn8 0.0872 0.3157 0.9369
Mn9 0.0829 0.8311 0.4443
Mn10 0.4171 0.5557 0.1689
Mn11 0.9171 0.1689 0.5557
Mn12 0.5829 0.4443 0.8311
H1 0.2500 0.0598 0.9402
H2 0.7500 0.9402 0.0598
H3 0.2500 0.8136 0.1864
H4 0.7500 0.1864 0.8136

DFT total energy in eV per atom: -25.78
Spin magnetization in μB per atom: 0.000
Crystal system: monoclinic



(11)
Here is MnH2Rh2 at its PBEsol-relaxed geometry from Alexandria via LeMat-Bulk. Energies are from meta-GGA SCAN.

Cell lengths 2.9754, 2.9754, 5.6215 Å; angles 105.35, 105.35, 90.00 degrees
Each line ends with the local moment (μB).
Atoms (fractional coordinates):
H1 0.2500 0.7500 0.5000  -0.01
H2 0.7500 0.2500 0.5000  -0.01
Mn1 0.0000 0.0000 0.0000  3.83
Rh1 0.3562 0.3562 0.7124  0.33
Rh2 0.6438 0.6438 0.2876  0.33

DFT total energy in eV per atom: -18.75
Spin magnetization in μB per atom: 0.902
Crystal system: tetragonal



(12)
Here is MnH2Rh at its PBEsol-relaxed geometry from Alexandria via LeMat-Bulk. Energies are from meta-GGA SCAN.

Cell lengths 3.6041, 3.6041, 3.6041 Å; angles 60.00, 60.00, 60.00 degrees
Each line ends with the local moment (μB).
Atoms (fractional coordinates):
H1 0.2500 0.2500 0.2500  -0.01
H2 0.7500 0.7500 0.7500  -0.01
Mn1 0.0000 0.0000 0.0000  3.90
Rh1 0.5000 0.5000 0.5000  0.38

DFT total energy in eV per atom: -14.48
Spin magnetization in μB per atom: 1.103
Crystal system: cubic



(13)
Here is YMnH2Rh at its PBEsol-relaxed geometry from Alexandria via LeMat-Bulk. Energies are from meta-GGA SCAN.

Cell lengths 3.7640, 3.7640, 5.0863 Å; angles 90.00, 90.00, 90.00 degrees
Each line ends with the local moment (μB).
Atoms (fractional coordinates):
Y1 0.0000 0.0000 0.5000  -0.23
H1 0.0000 0.5000 0.0000  0.01
H2 0.5000 0.0000 0.0000  0.01
Mn1 0.5000 0.5000 0.5000  3.88
Rh1 0.0000 0.0000 0.0000  0.07

DFT total energy in eV per atom: -16.91
Spin magnetization in μB per atom: 0.787
Crystal system: tetragonal



(14)
Here is Mn3HRu at its PBEsol-relaxed geometry from Alexandria via LeMat-Bulk. Energies are from meta-GGA SCAN.

Cell lengths 3.5890, 3.5890, 3.5890 Å; angles 90.00, 90.00, 90.00 degrees
Each line ends with the local moment (μB).
Atoms (fractional coordinates):
Ru1 0.5000 0.5000 0.5000  -0.40
Mn1 0.0000 0.5000 0.0000  1.17
Mn2 0.0000 0.0000 0.5000  1.17
Mn3 0.5000 0.0000 0.0000  1.17
H1 0.0000 0.0000 0.0000  -0.03

DFT total energy in eV per atom: -18.53
Spin magnetization in μB per atom: 0.623
Crystal system: cubic



(15)
Here is MnHS2 at its PBEsol-relaxed geometry from Alexandria via LeMat-Bulk. Energies are from meta-GGA SCAN.

Cell lengths 3.3309, 3.3309, 6.0449 Å; angles 74.01, 74.01, 60.00 degrees
Each line ends with the local moment (μB).
Atoms (fractional coordinates):
H1 0.0000 0.0000 0.0000  -0.01
S1 0.9050 0.9050 0.2849  0.01
S2 0.0950 0.0950 0.7151  0.01
Mn1 0.5000 0.5000 0.5000  2.02

DFT total energy in eV per atom: -10.71
Spin magnetization in μB per atom: 0.500
Crystal system: trigonal



(16)
Here is Mn3SbH at its PBEsol-relaxed geometry from Alexandria via LeMat-Bulk. Energies are from meta-GGA SCAN.

Cell lengths 3.7896, 3.7896, 3.7896 Å; angles 90.00, 90.00, 90.00 degrees
Each line ends with the local moment (μB).
Atoms (fractional coordinates):
Sb1 0.5000 0.5000 0.5000  -0.15
Mn1 0.0000 0.5000 0.0000  2.38
Mn2 0.0000 0.0000 0.5000  2.38
Mn3 0.5000 0.0000 0.0000  2.38
H1 0.0000 0.0000 0.0000  -0.04

DFT total energy in eV per atom: -19.21
Spin magnetization in μB per atom: 1.397
Crystal system: cubic



(17)
Here is SrMnSbH2 at its PBEsol-relaxed geometry from Alexandria via LeMat-Bulk. Energies are from meta-GGA SCAN.

Cell lengths 4.2594, 4.2594, 6.5647 Å; angles 90.00, 90.00, 90.00 degrees
Each line ends with the local moment (μB).
Atoms (fractional coordinates):
Sb1 0.0000 0.0000 0.0000  -0.01
Mn1 0.5000 0.5000 0.5000  4.25
H1 0.0000 0.5000 0.0000  0.00
H2 0.5000 0.0000 0.0000  0.00
Sr1 0.0000 0.0000 0.5000  -0.08

DFT total energy in eV per atom: -16.30
Spin magnetization in μB per atom: 0.846
Crystal system: tetragonal



(18)
Here is MnSb2TeH at its PBEsol-relaxed geometry from Alexandria via LeMat-Bulk. Energies are from meta-GGA SCAN.

Cell lengths 4.8980, 4.8980, 5.0360 Å; angles 90.00, 90.00, 90.00 degrees
Each line ends with the local moment (μB).
Atoms (fractional coordinates):
Sb1 0.0000 0.5000 0.0000  -0.05
Sb2 0.5000 0.0000 0.0000  -0.05
Te1 0.0000 0.0000 0.5000  0.14
Mn1 0.0000 0.0000 0.0000  2.80
H1 0.5000 0.5000 0.5000  -0.27

DFT total energy in eV per atom: -26.00
Spin magnetization in μB per atom: 0.464
Crystal system: tetragonal



(19)
Here is Mn2ZnSbH at its PBEsol-relaxed geometry from Alexandria via LeMat-Bulk. Energies are from meta-GGA SCAN.

Cell lengths 3.7999, 3.7999, 4.4432 Å; angles 90.00, 90.00, 90.00 degrees
Each line ends with the local moment (μB).
Atoms (fractional coordinates):
Sb1 0.0000 0.0000 0.5000  -0.02
Zn1 0.5000 0.5000 0.5000  -0.09
Mn1 0.0000 0.5000 0.0000  3.42
Mn2 0.5000 0.0000 0.0000  3.42
H1 0.0000 0.0000 0.0000  -0.04

DFT total energy in eV per atom: -18.00
Spin magnetization in μB per atom: 1.368
Crystal system: tetragonal



(20)
Here is MnHSe2 at its PBEsol-relaxed geometry from Alexandria via LeMat-Bulk. Energies are from meta-GGA SCAN.

Cell lengths 3.4180, 6.2319, 6.5416 Å; angles 76.28, 74.86, 74.08 degrees
Each line ends with the local moment (μB).
Atoms (fractional coordinates):
H1 0.5741 0.4196 0.4321  -0.05
H2 0.0741 0.9190 0.9327  0.01
Mn1 0.6781 0.1277 0.5160  3.28
Mn2 0.4699 0.7115 0.3487  3.28
Se1 0.0205 0.1888 0.7702  -0.12
Se2 0.3173 0.1203 0.2451  -0.15
Se3 0.8308 0.7187 0.6196  -0.15
Se4 0.1276 0.6504 0.0944  -0.12

E above lowest polymorph in meV per atom: 0
DFT total energy in eV per atom: -15.85
Spin magnetization in μB per atom: 0.751
Crystal system: monoclinic



no.,mass density (g/cm³)
1,12.24
2,13.06
3,11.07
4,4.23
5,3.60
6,15.13
7,14.23
8,17.24
9,4.05
10,12.26
11,9.45
12,8.02
13,5.73
14,9.59
15,3.62
16,8.77
17,3.71
18,5.87
19,7.71
20,5.58